<one>
PaTcPO PBE-GGA optimized geometry; M_tot = 1.68 μB per cell
1.0
4.054 0.000 0.000
0.000 4.054 0.000
0.000 0.000 7.876
P O Pa Tc
2 2 2 2
Direct
0.500 0.500 0.346 P
0.000 0.000 0.654 P
0.000 0.500 0.000 O
0.500 0.000 0.000 O
0.500 0.500 0.836 Pa
0.000 0.000 0.164 Pa
0.000 0.500 0.500 Tc
0.500 0.000 0.500 Tc

=====

<two>
PaTcPO PBE-GGA optimized geometry; M_tot = 0.01 μB per cell
1.0
-1.722 0.132 -3.825
1.994 -3.549 -1.020
-5.367 -3.674 2.289
Pa O Tc P
2 2 2 2
Direct
0.000 0.500 0.500 Pa
0.500 0.000 0.500 Pa
0.500 0.000 0.000 O
0.000 0.500 0.000 O
0.000 0.000 0.132 Tc
0.500 0.500 0.868 Tc
0.500 0.500 0.216 P
0.000 0.000 0.784 P

=====

<three>
PaTcPO PBE-GGA optimized geometry; M_tot = 0.01 μB per cell
1.0
-0.253 2.972 -3.340
-5.686 -0.452 0.028
-0.310 4.128 3.697
P Tc Pa O
2 2 2 2
Direct
0.500 0.760 0.436 P
0.500 0.240 0.936 P
0.000 0.605 0.516 Tc
0.000 0.395 0.016 Tc
0.500 0.255 0.431 Pa
0.500 0.745 0.931 Pa
0.000 0.268 0.371 O
0.000 0.732 0.871 O

=====

<four>
PaTcPO PBE-GGA optimized geometry; M_tot = 0.07 μB per cell
1.0
-1.212 4.039 -0.693
-3.587 -0.833 1.417
2.316 1.892 6.977
Tc P Pa O
2 2 2 2
Direct
0.500 0.252 0.935 Tc
0.500 0.748 0.435 Tc
0.500 0.750 0.755 P
0.500 0.250 0.255 P
0.000 0.253 0.622 Pa
0.000 0.747 0.122 Pa
0.000 0.245 0.942 O
0.000 0.755 0.442 O

=====

Looking at the structures above, which would you pick as the most stable? I would pick <one>.